No. 1
! La2InIrC, optimized geometry, DFT PBE-GGA; values from VASP
! Calculated volume: 117.9 Å³/cell
&SYSTEM
  ibrav = 0, nat = 5, ntyp = 4
/
ATOMIC_SPECIES
Ir 192.22 Ir.upf
La 138.91 La.upf
In 114.82 In.upf
C 12.01 C.upf
CELL_PARAMETERS angstrom
5.486 0.000 0.000
0.000 5.486 0.000
0.000 0.000 3.916
ATOMIC_POSITIONS crystal
Ir 0.000 0.000 0.500
La 0.000 0.500 0.000
La 0.500 0.000 0.000
In 0.500 0.500 0.500
C 0.000 0.000 0.000



No. 2
! Pu4Ga6Rh7, optimized geometry, DFT PBE-GGA; values from VASP
! Calculated volume: 301.4 Å³/cell
&SYSTEM
  ibrav = 0, nat = 17, ntyp = 3
/
ATOMIC_SPECIES
Rh 102.91 Rh.upf
Ga 69.72 Ga.upf
Pu 244.00 Pu.upf
CELL_PARAMETERS angstrom
6.897 0.000 -2.439
-3.449 5.973 -2.439
0.000 0.000 7.316
ATOMIC_POSITIONS crystal
Rh 0.750 0.250 0.500
Ga 0.313 0.000 0.313
Pu 0.500 0.000 0.000
Ga 0.000 0.313 0.313
Rh 0.750 0.500 0.250
Pu 0.000 0.500 0.000
Pu 0.000 0.000 0.500
Rh 0.250 0.750 0.500
Rh 0.250 0.500 0.750
Ga 0.687 0.687 0.000
Rh 0.000 0.000 0.000
Ga 0.313 0.313 0.000
Ga 0.687 0.000 0.687
Ga 0.000 0.687 0.687
Pu 0.500 0.500 0.500
Rh 0.500 0.750 0.250
Rh 0.500 0.250 0.750



No. 3
! ScFe2, optimized geometry, DFT PBE-GGA; values from VASP
! Calculated volume: 88.3 Å³/cell
&SYSTEM
  ibrav = 0, nat = 6, ntyp = 2
/
ATOMIC_SPECIES
Fe 55.84 Fe.upf
Sc 44.96 Sc.upf
CELL_PARAMETERS angstrom
-0.647 -5.096 -0.313
1.641 -4.393 -2.120
4.040 -2.882 3.993
ATOMIC_POSITIONS crystal
Fe 0.476 0.476 0.723
Sc 0.159 0.159 0.885
Fe 0.524 0.524 0.277
Sc 0.841 0.841 0.115
Fe 0.154 0.154 0.449
Fe 0.846 0.846 0.551



No. 4
! TbSmHf, optimized geometry, DFT PBE-GGA; values from VASP
! Calculated volume: 85.6 Å³/cell
! Relative energy among the computed polymorphs: 15 meV/atom
&SYSTEM
  ibrav = 0, nat = 3, ntyp = 3
/
ATOMIC_SPECIES
Hf 178.49 Hf.upf
Tb 158.93 Tb.upf
Sm 150.36 Sm.upf
CELL_PARAMETERS angstrom
-3.348 0.083 -0.647
1.792 -2.830 -0.645
-1.590 -2.798 7.866
ATOMIC_POSITIONS crystal
Hf 0.667 0.333 0.335
Tb 0.333 0.667 0.644
Sm 0.000 0.000 0.022



no.,DFT formation energy (eV per atom)
1,-0.44
2,-0.59
3,0.04
4,0.15